Record 1
# PuScGa, relaxed, DFT PBE-GGA
# electronic total energy: -8.054 eV per atom
# ΔE to the lowest computed polymorph: 191 meV per atom
# crystal system: hexagonal
data_PuScGa
_cell_length_a 7.5115
_cell_length_b 7.5115
_cell_length_c 4.3207
_cell_angle_alpha 90.00
_cell_angle_beta 90.00
_cell_angle_gamma 120.00
_symmetry_space_group_name_H-M 'P -6 2 m'
_symmetry_Int_Tables_number 189
_symmetry_space_group_name_Hall 'P -6 -2'
loop_
_atom_site_label
_atom_site_fract_x
_atom_site_fract_y
_atom_site_fract_z
Pu1 0.0000 0.7516 0.0000
Sc1 0.0000 0.4249 0.5000
Ga1 0.0000 0.0000 0.5000
Ga2 0.3333 0.6667 0.0000

=====

Record 2
# CdInGa2, relaxed, DFT PBE-GGA
# electronic total energy: -2.328 eV per atom
# ΔE to the lowest computed polymorph: 45 meV per atom
# crystal system: trigonal
data_CdInGa2
_cell_length_a 4.3967
_cell_length_b 4.3967
_cell_length_c 17.1776
_cell_angle_alpha 90.00
_cell_angle_beta 90.00
_cell_angle_gamma 120.00
_symmetry_space_group_name_H-M 'R 3 m'
_symmetry_Int_Tables_number 160
_symmetry_space_group_name_Hall 'R 3 -2"'
loop_
_atom_site_label
_atom_site_fract_x
_atom_site_fract_y
_atom_site_fract_z
Cd1 0.0000 0.0000 0.0000
In1 0.0000 0.0000 0.8195
Ga1 0.0000 0.0000 0.4099
Ga2 0.0000 0.0000 0.5821

=====

Record 3
# Sr2CrAg, relaxed, DFT PBE-GGA
# electronic total energy: -3.432 eV per atom
# ΔE to the lowest computed polymorph: 335 meV per atom
# crystal system: tetragonal
data_Sr2CrAg
_cell_length_a 8.722
_cell_length_b 8.722
_cell_length_c 7.190
_cell_angle_alpha 90.00
_cell_angle_beta 90.00
_cell_angle_gamma 90.00
_symmetry_space_group_name_H-M 'I -4 2 d'
_symmetry_Int_Tables_number 122
_symmetry_space_group_name_Hall 'I -4 2bw'
loop_
_atom_site_label
_atom_site_fract_x
_atom_site_fract_y
_atom_site_fract_z
Sr1 0.234 0.250 0.125
Cr1 0.000 0.000 0.500
Ag1 0.000 0.000 0.000

=====

Record 4
# Pm6MgPb10, relaxed, DFT PBE-GGA
# electronic total energy: -4.315 eV per atom
# crystal system: trigonal
data_Pm6MgPb10
_cell_length_a 9.3610
_cell_length_b 9.3610
_cell_length_c 6.7647
_cell_angle_alpha 90.00
_cell_angle_beta 90.00
_cell_angle_gamma 120.00
_symmetry_space_group_name_H-M 'P -3 1 m'
_symmetry_Int_Tables_number 162
_symmetry_space_group_name_Hall '-P 3 2'
loop_
_atom_site_label
_atom_site_fract_x
_atom_site_fract_y
_atom_site_fract_z
Pm1 0.0000 0.3966 0.2561
Mg1 0.0000 0.0000 0.5000
Pb1 0.0000 0.2364 0.8021
Pb2 0.3333 0.6667 0.0000
Pb3 0.3333 0.6667 0.5000